DFT (GGA-PBEsol) results for a geometry-optimized RbP4N7 structure.

Its formation energy without anion corrections is -649 meV/atom. The calculation puts the total magnetization at 0.0 μB per cell. For the total energy, the calculation gives -7.638 eV per atom.

Cell: 9.9089 12.3669 4.6896 Å, 90.00 90.00 90.00°
Positions (direct):
Rb 0.1478 0.2500 0.2288
Rb 0.3522 0.7500 0.7288
Rb 0.6478 0.2500 0.2712
Rb 0.8522 0.7500 0.7712
P 0.0891 0.6302 0.2147
P 0.0891 0.8698 0.2147
P 0.1564 0.0000 0.7202
P 0.1564 0.5000 0.7202
P 0.3436 0.0000 0.2202
P 0.3436 0.5000 0.2202
P 0.4109 0.1302 0.7147
P 0.4109 0.3698 0.7147
P 0.5891 0.6302 0.2853
P 0.5891 0.8698 0.2853
P 0.6564 0.0000 0.7798
P 0.6564 0.5000 0.7798
P 0.8436 0.0000 0.2798
P 0.8436 0.5000 0.2798
P 0.9109 0.1302 0.7853
P 0.9109 0.3698 0.7853
N 0.0597 0.1006 0.6772
N 0.0597 0.3994 0.6772
N 0.1140 0.6066 0.8828
N 0.1140 0.8934 0.8828
N 0.1298 0.7500 0.2986
N 0.2009 0.5441 0.3853
N 0.2009 0.9559 0.3853
N 0.2991 0.0441 0.8853
N 0.2991 0.4559 0.8853
N 0.3702 0.2500 0.7986
N 0.3860 0.1066 0.3828
N 0.3860 0.3934 0.3828
N 0.4403 0.6006 0.1772
N 0.4403 0.8994 0.1772
N 0.5597 0.1006 0.8228
N 0.5597 0.3994 0.8228
N 0.6140 0.6066 0.6172
N 0.6140 0.8934 0.6172
N 0.6298 0.7500 0.2014
N 0.7009 0.5441 0.1147
N 0.7009 0.9559 0.1147
N 0.7991 0.0441 0.6147
N 0.7991 0.4559 0.6147
N 0.8702 0.2500 0.7014
N 0.8860 0.1066 0.1172
N 0.8860 0.3934 0.1172
N 0.9403 0.6006 0.3228
N 0.9403 0.8994 0.3228